Entry from Alexandria: ThPaWC4 after structural relaxation (PBE-GGA).

Cell: 3.994 3.994 7.002 Å, 106.57 106.57 90.00°
Sites, in units of the cell vectors:
Th1 0.649 0.649 0.299
C1 0.986 0.486 0.971
W1 0.011 0.011 0.023
C2 0.173 0.173 0.346
C3 0.486 0.986 0.971
Pa1 0.366 0.366 0.733
C4 0.829 0.829 0.657

Summary:
- Volume: 14.6 A^3/atom
- DOS(E_F): 4.9 states/eV/f.u.
- Uncorrected energy: -9.48 eV per atom
- Energy of formation from the pure elements: 0.4 eV per formula unit

---

Entry from Alexandria: Dy4ErN4 after structural relaxation (PBE-GGA).

Cell: 4.919 6.032 6.031 Å, 80.42 65.91 65.91°
Sites, in units of the cell vectors:
Dy1 0.188 0.202 0.420
Dy2 0.609 0.580 0.202
N1 0.097 0.606 0.198
Dy3 0.812 0.798 0.580
Dy4 0.391 0.420 0.798
N2 0.704 0.198 0.394
N3 0.296 0.802 0.606
Er1 0.000 0.000 0.000
N4 0.903 0.394 0.802

Summary:
- Volume: 16.6 A^3/atom
- DOS(E_F): 2.7 states/eV/f.u.
- Uncorrected energy: -7.77 eV per atom

---

> The lowest DOS(E_F) belongs to which entry?

Dy4ErN4

---

> The highest volume belongs to which entry?

Dy4ErN4